Entry 1:
Density functional theory data (PBE-GGA) for an optimized crystal structure of Er4Ge2PSe.

Output
Total moment (μB/cell): 0.000
Space-group type: P2/m
E_form (uncorrected) (eV per formula unit): -9.99

Cell: 3.998 6.913 7.230 Å, 108.62 90.00 90.00°
Sites, in units of the cell vectors:
Er  0.000  0.241  0.749
Er  0.500  0.239  0.241
Ge  0.500  0.000  0.500
Ge  0.000  0.500  0.500
P  0.000  0.000  0.000
Se  0.500  0.500  0.000
Er  0.000  0.759  0.251
Er  0.500  0.761  0.759

Entry 2:
Density functional theory data (PBE-GGA) for an optimized crystal structure of Er8Ge3PSe3.

Output
Total moment (μB/cell): 0.000
Space-group type: R-3m
E_form (uncorrected) (eV per formula unit): -19.10

Cell: 8.137 8.137 8.100 Å, 120.15 90.00 120.00°
Sites, in units of the cell vectors:
Er  0.245  0.490  0.736
Ge  0.500  0.500  0.500
Er  0.254  0.508  0.262
Er  0.245  0.991  0.736
Er  0.755  0.009  0.264
Ge  0.000  0.500  0.500
Ge  0.500  0.000  0.500
Se  0.000  0.000  0.000
Er  0.755  0.510  0.264
Er  0.254  0.009  0.264
Se  0.000  0.500  0.000
Se  0.500  0.500  0.000
Er  0.746  0.492  0.738
Er  0.746  0.991  0.736
P  0.000  0.000  0.500

It is found that the V values, taken in the order of the records, are 23.7; 25.2 A^3/atom.